No. 1
A relaxed structure of Zn2MoPb, computed with PBE.

POSCAR file:
```
Zn2MoPb
1.0
1.5354 0.8864 9.5167
-1.5354 0.8864 9.5167
0.0000 -1.7729 9.5167
Zn Mo Pb
2 1 1
direct
0.2388 0.2388 0.2388
0.7612 0.7612 0.7612
0.5000 0.5000 0.5000
0.0000 0.0000 0.0000
```

As for the space group: No. 166. The calculation puts the uncorrected energy at -0.2843 Ry per atom. For the formation energy, the calculation gives 0.403 eV per atom.

***

No. 2
A relaxed structure of CsMg6Cu, computed with PBE.

POSCAR file:
```
CsMg6Cu
1.0
4.8326 0.0000 0.0000
0.0000 2.9931 9.2304
0.0000 -2.9931 9.2304
Cs Mg Cu
1 6 1
direct
0.0000 0.0000 0.0000
0.0000 0.3560 0.3560
0.0000 0.4427 0.9573
0.0000 0.9573 0.4427
0.5000 0.0488 0.5603
0.5000 0.5603 0.0488
0.5000 0.6505 0.6505
0.5000 0.1820 0.1820
```

As for the space group: No. 38. The calculation puts the uncorrected energy at -0.1184 Ry per atom. For the formation energy, the calculation gives 0.203 eV per atom.